# Er2TlN PBE optimized geometry
data_Er2TlN
_chemical_formula_sum 'Er6 Tl3 N3'
_cell_length_a 3.5089
_cell_length_b 3.5089
_cell_length_c 23.3512
_cell_angle_alpha 90.00
_cell_angle_beta 90.00
_cell_angle_gamma 120.00
_symmetry_space_group_name_H-M 'R -3 m'
_symmetry_Int_Tables_number 166
_symmetry_space_group_name_Hall '-R 3 2"'
loop_
_atom_site_label
_atom_site_type_symbol
_atom_site_fract_x
_atom_site_fract_y
_atom_site_fract_z
Er1 Er 0.0000 0.0000 0.2228
Tl1 Tl 0.0000 0.0000 0.0000
N1 N 0.0000 0.0000 0.5000
# Fermi-level density of states, states/eV/atom: 0.543
# Crystal system: trigonal
# ΔE_f (raw), eV/atom: -1.0272
# Total moment, μB/atom: 0.00



# Er4TlN PBE optimized geometry
data_Er4TlN
_chemical_formula_sum 'Er8 Tl2 N2'
_cell_length_a 6.7587
_cell_length_b 6.7550
_cell_length_c 6.6793
_cell_angle_alpha 90.00
_cell_angle_beta 97.83
_cell_angle_gamma 90.00
_symmetry_space_group_name_H-M 'P 1 21/c 1'
_symmetry_Int_Tables_number 14
loop_
_symmetry_equiv_pos_as_xyz
'x,y,z'
'-x,-y,-z'
'-x,y+1/2,-z+1/2'
'x,-y+1/2,z+1/2'
loop_
_atom_site_label
_atom_site_type_symbol
_atom_site_fract_x
_atom_site_fract_y
_atom_site_fract_z
Er1 Er 0.1079 0.1611 0.1995
Er2 Er 0.3007 0.6272 0.0793
Tl1 Tl 0.5000 0.0000 0.0000
N1 N 0.0000 0.0000 0.5000
# Fermi-level density of states, states/eV/atom: 0.980
# Crystal system: monoclinic
# ΔE_f (raw), eV/atom: -0.4907
# Total moment, μB/atom: 0.00



# Er2TlN PBE optimized geometry
data_Er2TlN
_chemical_formula_sum 'Er2 Tl1 N1'
_cell_length_a 3.1100
_cell_length_b 3.1100
_cell_length_c 7.8698
_cell_angle_alpha 90.00
_cell_angle_beta 90.00
_cell_angle_gamma 90.00
_symmetry_space_group_name_H-M 'P 4/m m m'
_symmetry_Int_Tables_number 123
_symmetry_space_group_name_Hall '-P 4 2'
loop_
_atom_site_label
_atom_site_type_symbol
_atom_site_fract_x
_atom_site_fract_y
_atom_site_fract_z
Er1 Er 0.0000 0.0000 0.1807
Tl1 Tl 0.5000 0.5000 0.5000
N1 N 0.5000 0.5000 0.0000
# Fermi-level density of states, states/eV/atom: 0.531
# Crystal system: tetragonal
# ΔE_f (raw), eV/atom: -0.4243
# Total moment, μB/atom: 0.00



# YEr2TlN PBE optimized geometry
data_YEr2TlN
_chemical_formula_sum 'Y1 Er2 Tl1 N1'
_cell_length_a 4.7695
_cell_length_b 4.7695
_cell_length_c 4.8272
_cell_angle_alpha 90.00
_cell_angle_beta 90.00
_cell_angle_gamma 90.00
_symmetry_space_group_name_H-M 'P 4/m m m'
_symmetry_Int_Tables_number 123
_symmetry_space_group_name_Hall '-P 4 2'
loop_
_atom_site_label
_atom_site_type_symbol
_atom_site_fract_x
_atom_site_fract_y
_atom_site_fract_z
Y1 Y 0.0000 0.0000 0.0000
Er1 Er 0.0000 0.5000 0.5000
Tl1 Tl 0.5000 0.5000 0.0000
N1 N 0.0000 0.0000 0.5000
# Fermi-level density of states, states/eV/atom: 0.521
# Crystal system: tetragonal
# ΔE_f (raw), eV/atom: -0.9537
# Total moment, μB/atom: 0.00



# ErTm5N6 PBE optimized geometry
data_ErTm5N6
_chemical_formula_sum 'Er2 Tm10 N12'
_cell_length_a 5.9005
_cell_length_b 10.2208
_cell_length_c 5.9006
_cell_angle_alpha 90.00
_cell_angle_beta 109.47
_cell_angle_gamma 90.00
_symmetry_space_group_name_H-M 'C 1 2/m 1'
_symmetry_Int_Tables_number 12
loop_
_symmetry_equiv_pos_as_xyz
'x,y,z'
'-x,-y,-z'
'-x,y,-z'
'x,-y,z'
'x+1/2,y+1/2,z'
'-x+1/2,-y+1/2,-z'
'-x+1/2,y+1/2,-z'
'x+1/2,-y+1/2,z'
loop_
_atom_site_label
_atom_site_type_symbol
_atom_site_fract_x
_atom_site_fract_y
_atom_site_fract_z
Er1 Er 0.0000 0.0000 0.0000
Tm1 Tm 0.0000 0.1668 0.5000
Tm2 Tm 0.0000 0.3333 0.0000
Tm3 Tm 0.0000 0.5000 0.5000
N1 N 0.2494 0.3328 0.7495
N2 N 0.2492 0.5000 0.2505
# Fermi-level density of states, states/eV/atom: 0.023
# Crystal system: monoclinic
# ΔE_f (raw), eV/atom: -1.8218
# Total moment, μB/atom: 0.00



# Er3Tm5N8 PBE optimized geometry
data_Er3Tm5N8
_chemical_formula_sum 'Er9 Tm15 N24'
_cell_length_a 6.8251
_cell_length_b 6.8251
_cell_length_c 16.7169
_cell_angle_alpha 90.00
_cell_angle_beta 90.00
_cell_angle_gamma 120.00
_symmetry_space_group_name_H-M 'R -3 m'
_symmetry_Int_Tables_number 166
_symmetry_space_group_name_Hall '-R 3 2"'
loop_
_atom_site_label
_atom_site_type_symbol
_atom_site_fract_x
_atom_site_fract_y
_atom_site_fract_z
Er1 Er 0.0000 0.5000 0.0000
Tm1 Tm 0.0000 0.0000 0.0000
Tm2 Tm 0.0000 0.0000 0.5000
Tm3 Tm 0.0000 0.5000 0.5000
N1 N 0.0000 0.0000 0.2495
N2 N 0.0007 0.5004 0.7504
# Fermi-level density of states, states/eV/atom: 0.029
# Crystal system: trigonal
# ΔE_f (raw), eV/atom: -1.8111
# Total moment, μB/atom: 0.00



Q: Look up the Fermi-level density of states of the first one.
A: 0.543 states/eV/atom



Repeat the sixth record exactly.
# Er3Tm5N8 PBE optimized geometry
data_Er3Tm5N8
_chemical_formula_sum 'Er9 Tm15 N24'
_cell_length_a 6.8251
_cell_length_b 6.8251
_cell_length_c 16.7169
_cell_angle_alpha 90.00
_cell_angle_beta 90.00
_cell_angle_gamma 120.00
_symmetry_space_group_name_H-M 'R -3 m'
_symmetry_Int_Tables_number 166
_symmetry_space_group_name_Hall '-R 3 2"'
loop_
_atom_site_label
_atom_site_type_symbol
_atom_site_fract_x
_atom_site_fract_y
_atom_site_fract_z
Er1 Er 0.0000 0.5000 0.0000
Tm1 Tm 0.0000 0.0000 0.0000
Tm2 Tm 0.0000 0.0000 0.5000
Tm3 Tm 0.0000 0.5000 0.5000
N1 N 0.0000 0.0000 0.2495
N2 N 0.0007 0.5004 0.7504
# Fermi-level density of states, states/eV/atom: 0.029
# Crystal system: trigonal
# ΔE_f (raw), eV/atom: -1.8111
# Total moment, μB/atom: 0.00